#P
An optimized crystal structure of ErPu2Ga, computed with PBE.

Cell and atoms, written as POSCAR:
```
ErPu2Ga
1.0
5.213 0.000 0.000
2.606 4.515 0.000
2.606 1.505 4.257
Er Ga Pu
1 1 2
direct
0.500 0.500 0.500
0.000 0.000 0.000
0.250 0.250 0.250
0.750 0.750 0.750
```

## Properties
total magnetic moment: 12.1 μB per formula unit

---

#Q
An optimized crystal structure of ErPu2Ga, computed with PBE.

Cell and atoms, written as POSCAR:
```
ErPu2Ga
1.0
-4.304 -2.307 -1.037
2.040 -2.451 -3.017
0.885 -3.025 3.056
Er Ga Pu
1 1 2
direct
0.500 0.500 0.500
0.500 0.000 0.000
0.000 0.000 0.500
0.000 0.500 0.000
```

## Properties
total magnetic moment: 11.7 μB per formula unit

---

#R
An optimized crystal structure of ErPu2Ga, computed with PBE.

Cell and atoms, written as POSCAR:
```
ErPu2Ga
1.0
3.965 0.000 0.000
0.000 3.965 0.000
0.000 0.000 6.363
Er Ga Pu
1 1 2
direct
0.500 0.500 0.500
0.500 0.500 0.000
0.000 0.000 0.776
0.000 0.000 0.224
```

## Properties
total magnetic moment: 12.1 μB per formula unit

---

Name the most stable of them. #Q.

---

#P
An optimized crystal structure of ErPu2Ga9, computed with PBE.

Cell and atoms, written as POSCAR:
```
ErPu2Ga9
1.0
5.474 0.000 0.000
2.737 4.740 0.000
2.737 1.580 9.074
Er Pu Ga
1 2 9
direct
0.000 0.000 0.000
0.858 0.858 0.427
0.142 0.142 0.573
0.665 0.665 0.004
0.335 0.335 0.996
0.500 0.500 0.500
0.413 0.413 0.252
0.922 0.413 0.252
0.413 0.922 0.252
0.587 0.587 0.748
0.587 0.078 0.748
0.078 0.587 0.748
```

## Properties
total magnetic moment: 11.5 μB per formula unit

---

#Q
An optimized crystal structure of ErPu2Ga9, computed with PBE.

Cell and atoms, written as POSCAR:
```
ErPu2Ga9
1.0
4.273 0.000 0.000
0.000 4.273 0.000
0.000 0.000 12.794
Er Pu Ga
1 2 9
direct
0.000 0.000 0.000
0.000 0.000 0.331
0.000 0.000 0.669
0.500 0.500 0.000
0.500 0.500 0.335
0.500 0.500 0.665
0.500 0.000 0.167
0.500 0.000 0.500
0.500 0.000 0.833
0.000 0.500 0.167
0.000 0.500 0.500
0.000 0.500 0.833
```

## Properties
total magnetic moment: 10.6 μB per formula unit

---

Name the most stable of them. #Q.

---

#P
An optimized crystal structure of Er2Ga5Rh3, computed with PBE.

Cell and atoms, written as POSCAR:
```
Er2Ga5Rh3
1.0
4.218 0.000 -0.719
0.000 6.787 0.000
-0.065 0.000 12.358
Er Ga Rh
4 10 6
direct
0.478 0.778 0.957
0.176 0.707 0.352
0.824 0.207 0.648
0.522 0.278 0.043
0.398 0.413 0.797
0.291 0.496 0.581
0.709 0.996 0.419
0.126 0.263 0.251
0.295 0.892 0.589
0.948 0.104 0.896
0.705 0.392 0.411
0.874 0.763 0.749
0.052 0.604 0.104
0.602 0.913 0.203
0.771 0.690 0.543
0.608 0.531 0.216
0.050 0.992 0.099
0.229 0.190 0.457
0.950 0.492 0.901
0.392 0.031 0.784
```

## Properties
total magnetic moment: 0.0 μB per formula unit

---

#Q
An optimized crystal structure of Er2Ga5Rh3, computed with PBE.

Cell and atoms, written as POSCAR:
```
Er2Ga5Rh3
1.0
5.631 0.000 0.000
2.816 8.089 0.471
2.816 1.713 7.919
Er Ga Rh
4 10 6
direct
0.145 0.581 0.130
0.645 0.130 0.581
0.855 0.419 0.870
0.355 0.870 0.419
0.416 0.266 0.902
0.916 0.902 0.266
0.584 0.734 0.098
0.084 0.098 0.734
0.450 0.800 0.800
0.550 0.200 0.200
0.750 0.500 0.500
0.250 0.500 0.500
0.050 0.200 0.200
0.950 0.800 0.800
0.348 0.568 0.736
0.848 0.736 0.568
0.652 0.432 0.264
0.152 0.264 0.432
0.250 0.000 0.000
0.750 0.000 0.000
```

## Properties
total magnetic moment: 0.0 μB per formula unit

---

Name the most stable of them. #Q.

---

#P
An optimized crystal structure of ErGaRuRh, computed with PBE.

Cell and atoms, written as POSCAR:
```
ErGaRuRh
1.0
3.379 0.000 0.000
0.000 4.339 0.000
0.000 0.000 4.482
Er Ga Ru Rh
1 1 1 1
direct
0.500 0.000 0.500
0.500 0.500 0.000
0.000 0.000 0.000
0.000 0.500 0.500
```

## Properties
total magnetic moment: 0.0 μB per formula unit

---

#Q
An optimized crystal structure of ErGaRuRh, computed with PBE.

Cell and atoms, written as POSCAR:
```
ErGaRuRh
1.0
4.531 0.000 0.000
2.266 3.924 0.000
2.266 1.308 3.700
Ru Rh Ga Er
1 1 1 1
direct
0.000 0.000 0.000
0.500 0.500 0.500
0.750 0.750 0.750
0.250 0.250 0.250
```

## Properties
total magnetic moment: 0.0 μB per formula unit

---

Name the most stable of them. #P.

---

#P
An optimized crystal structure of Er4GaRu2, computed with PBE.

Cell and atoms, written as POSCAR:
```
Er4GaRu2
1.0
-4.168 0.287 -2.356
2.263 -0.954 -4.120
-1.022 -6.706 0.992
Ru Ga Er
2 1 4
direct
0.000 0.000 0.000
0.500 0.500 0.500
0.500 0.500 0.000
0.500 0.000 0.256
0.000 0.500 0.744
0.500 0.000 0.744
0.000 0.500 0.256
```

## Properties
total magnetic moment: 0.0 μB per formula unit

---

#Q
An optimized crystal structure of Er4GaRu2, computed with PBE.

Cell and atoms, written as POSCAR:
```
Er4GaRu2
1.0
-5.139 -6.355 2.940
4.494 -2.580 -4.078
4.024 1.866 4.879
Er Ga Ru
8 2 4
direct
0.936 0.210 0.345
0.392 0.490 0.300
0.858 0.658 0.598
0.765 0.136 0.730
0.376 0.977 0.274
0.313 0.158 0.774
0.485 0.716 0.871
0.874 0.648 0.101
0.178 0.683 0.517
0.072 0.089 0.005
0.583 0.389 0.676
0.667 0.842 0.305
0.625 0.304 0.179
0.125 0.450 0.825
```

## Properties
total magnetic moment: 0.0 μB per formula unit

---

Name the most stable of them. #P.

---

#P
An optimized crystal structure of Er3Ga4Ru2, computed with PBE.

Cell and atoms, written as POSCAR:
```
Er3Ga4Ru2
1.0
4.344 0.000 0.000
-2.172 5.120 0.026
0.000 -2.183 7.964
Er Ga Ru
3 4 2
direct
0.382 0.763 0.623
0.000 0.000 0.000
0.618 0.237 0.377
0.699 0.398 0.058
0.095 0.190 0.649
0.905 0.810 0.351
0.301 0.602 0.942
0.284 0.569 0.243
0.716 0.431 0.757
```

## Properties
total magnetic moment: 0.0 μB per formula unit

---

#Q
An optimized crystal structure of Er3Ga4Ru2, computed with PBE.

Cell and atoms, written as POSCAR:
```
Er3Ga4Ru2
1.0
-1.111 -4.217 -0.018
1.534 1.873 -5.063
7.005 -1.863 4.089
Er Ga Ru
3 4 2
direct
0.634 0.268 0.690
0.000 0.000 0.000
0.366 0.732 0.310
0.718 0.436 0.071
0.282 0.564 0.929
0.912 0.824 0.599
0.088 0.176 0.401
0.683 0.367 0.356
0.317 0.633 0.644
```

## Properties
total magnetic moment: 0.0 μB per formula unit

---

Name the most stable of them. #Q.

---

#P
An optimized crystal structure of ErGa3Ru, computed with PBE.

Cell and atoms, written as POSCAR:
```
ErGa3Ru
1.0
-2.029 -1.601 -5.856
2.208 -5.946 0.860
-5.655 -1.747 2.437
Er Ga Ru
3 9 3
direct
0.500 0.500 0.000
0.500 0.000 0.500
0.000 0.500 0.500
0.500 0.500 0.500
0.213 0.213 0.787
0.213 0.787 0.213
0.787 0.213 0.213
0.787 0.787 0.787
0.787 0.787 0.213
0.787 0.213 0.787
0.213 0.787 0.787
0.213 0.213 0.213
0.000 0.000 0.500
0.000 0.500 0.000
0.500 0.000 0.000
```

## Properties
total magnetic moment: 0.0 μB per formula unit

---

#Q
An optimized crystal structure of ErGa3Ru, computed with PBE.

Cell and atoms, written as POSCAR:
```
ErGa3Ru
1.0
5.935 -0.670 -0.481
2.199 5.553 -0.481
2.199 1.320 5.416
Er Ga Ru
2 6 2
direct
0.159 0.159 0.159
0.841 0.841 0.841
0.300 0.987 0.634
0.634 0.300 0.987
0.987 0.634 0.300
0.700 0.013 0.366
0.013 0.366 0.700
0.366 0.700 0.013
0.408 0.408 0.408
0.592 0.592 0.592
```

## Properties
total magnetic moment: 0.0 μB per formula unit

---

Name the most stable of them. #P.

---

#P
An optimized crystal structure of Er3GaRu, computed with PBE.

Cell and atoms, written as POSCAR:
```
Er3GaRu
1.0
4.985 0.002 0.004
-0.001 7.437 -0.635
-0.006 -0.398 6.734
Er Ga Ru
6 2 2
direct
0.543 0.942 0.662
0.543 0.332 0.960
0.043 0.196 0.460
0.043 0.672 0.886
0.543 0.518 0.414
0.543 0.917 0.158
0.043 0.784 0.372
0.043 0.104 0.965
0.543 0.641 0.807
0.043 0.437 0.192
```

## Properties
total magnetic moment: 0.0 μB per formula unit

---

#Q
An optimized crystal structure of Er3GaRu, computed with PBE.

Cell and atoms, written as POSCAR:
```
Er3GaRu
1.0
-4.161 -2.373 -3.005
0.346 -2.222 5.189
-3.113 7.724 1.569
Er Ga Ru
6 2 2
direct
0.305 0.805 0.110
0.695 0.195 0.890
0.077 0.209 0.286
0.923 0.791 0.714
0.709 0.577 0.286
0.291 0.423 0.714
0.696 0.196 0.500
0.304 0.804 0.500
0.250 0.250 0.000
0.750 0.750 0.000
```

## Properties
total magnetic moment: 0.0 μB per formula unit

---

Name the most stable of them. #Q.

---

#P
An optimized crystal structure of ErGa3Ru2, computed with PBE.

Cell and atoms, written as POSCAR:
```
ErGa3Ru2
1.0
5.365 0.000 0.000
-2.683 4.646 0.000
0.000 0.000 8.289
Er Ga Ru
2 6 4
direct
0.000 0.000 0.500
0.000 0.000 0.000
0.500 0.000 0.250
0.000 0.500 0.750
0.500 0.000 0.750
0.500 0.500 0.250
0.000 0.500 0.250
0.500 0.500 0.750
0.667 0.333 0.500
0.333 0.667 0.000
0.333 0.667 0.500
0.667 0.333 0.000
```

## Properties
total magnetic moment: 0.9 μB per formula unit

---

#Q
An optimized crystal structure of ErGa3Ru2, computed with PBE.

Cell and atoms, written as POSCAR:
```
ErGa3Ru2
1.0
-0.061 5.761 0.846
-5.723 -0.337 1.887
2.716 -0.755 5.337
Er Ga Ru
2 6 4
direct
0.250 0.367 0.367
0.750 0.633 0.633
0.750 0.445 0.100
0.750 0.100 0.445
0.250 0.555 0.900
0.750 0.007 0.007
0.250 0.993 0.993
0.250 0.900 0.555
0.500 0.775 0.225
0.000 0.775 0.225
0.000 0.225 0.775
0.500 0.225 0.775
```

## Properties
total magnetic moment: 0.0 μB per formula unit

---

Name the most stable of them. #Q.

---

#P
An optimized crystal structure of TbErGaRu, computed with PBE.

Cell and atoms, written as POSCAR:
```
TbErGaRu
1.0
4.920 0.000 0.000
2.460 4.261 0.000
2.460 1.420 4.017
Ru Tb Ga Er
1 1 1 1
direct
0.750 0.750 0.750
0.000 0.000 0.000
0.250 0.250 0.250
0.500 0.500 0.500
```

## Properties
total magnetic moment: 0.0 μB per formula unit

---

#Q
An optimized crystal structure of TbErGaRu, computed with PBE.

Cell and atoms, written as POSCAR:
```
TbErGaRu
1.0
-0.355 1.028 -3.745
-4.163 -1.039 0.110
-1.026 4.463 3.353
Tb Er Ga Ru
1 1 1 1
direct
0.146 0.000 0.292
0.860 0.500 0.720
0.566 0.500 0.133
0.428 0.000 0.856
```

## Properties
total magnetic moment: 0.0 μB per formula unit

---

Name the most stable of them. #Q.

---

#P
An optimized crystal structure of YErGaRu, computed with PBE.

Cell and atoms, written as POSCAR:
```
YErGaRu
1.0
-2.349 2.400 1.890
0.031 -2.646 3.398
5.422 1.396 1.037
Y Er Ga Ru
1 1 1 1
direct
0.854 0.500 0.708
0.141 0.000 0.282
0.434 0.000 0.867
0.571 0.500 0.143
```

## Properties
total magnetic moment: 0.0 μB per formula unit

---

#Q
An optimized crystal structure of YErGaRu, computed with PBE.

Cell and atoms, written as POSCAR:
```
YErGaRu
1.0
4.916 0.000 0.000
2.458 4.257 0.000
2.458 1.419 4.014
Y Ru Ga Er
1 1 1 1
direct
0.250 0.250 0.250
0.000 0.000 0.000
0.500 0.500 0.500
0.750 0.750 0.750
```

## Properties
total magnetic moment: 0.0 μB per formula unit

---

Name the most stable of them. #P.